# 1
A plane-wave DFT calculation with PBE was carried out for a geometry-optimized TmBiPd structure.

Lattice parameters (Å, degrees): 3.4881 3.4881 6.4497 105.69 105.69 90.00
Positions (direct):
Tm  0.3056  0.3056  0.6112
Pd  0.6812  0.6812  0.3624
Bi  0.0132  0.0132  0.0264

Properties
Formation enthalpy at 0 K, kJ/mol of formula units: -169
Crystal system: tetragonal
Density, kg/m³: 11092
D(E_F), states/eV/f.u.: 2.175
Symmetry: I4mm
Final energy, Ha/atom: -0.187

***

# 2
A plane-wave DFT calculation with PBE was carried out for a geometry-optimized TmBi2Pd8 structure.

Lattice parameters (Å, degrees): 4.0676 8.0112 7.7150 121.28 105.28 90.00
Positions (direct):
Pd  0.8416  0.8416  0.6832
Pd  0.6660  0.9105  0.3321
Pd  0.3340  0.0895  0.6679
Pd  0.6660  0.4216  0.3321
Pd  0.0000  0.7415  0.0000
Pd  0.1584  0.1584  0.3168
Pd  0.0000  0.2585  0.0000
Pd  0.3340  0.5784  0.6679
Tm  0.5000  0.0000  0.0000
Bi  0.1634  0.6634  0.3268
Bi  0.8366  0.3366  0.6732

Properties
Formation enthalpy at 0 K, kJ/mol of formula units: -490
Crystal system: orthorhombic
Density, kg/m³: 11685
Offset from the most stable computed form, kJ/mol of formula units: 3
D(E_F), states/eV/f.u.: 3.948
Symmetry: Immm
Final energy, Ha/atom: -0.197

***

# 3
A plane-wave DFT calculation with PBE was carried out for a geometry-optimized Tm7Bi2Pd2 structure.

Lattice parameters (Å, degrees): 3.8919 9.4902 9.4902 62.14 78.17 78.17
Positions (direct):
Pd  0.2614  0.3303  0.1468
Pd  0.7386  0.8532  0.6697
Tm  0.8149  0.0828  0.2874
Tm  0.1851  0.7126  0.9172
Tm  0.6269  0.4798  0.2664
Tm  0.1478  0.1030  0.6013
Tm  0.8522  0.3987  0.8970
Tm  0.3731  0.7336  0.5202
Tm  0.5000  0.0303  0.9697
Bi  0.5000  0.3613  0.6387
Bi  0.0000  0.7682  0.2318

Properties
Formation enthalpy at 0 K, kJ/mol of formula units: -654
Crystal system: orthorhombic
Density, kg/m³: 10008
Offset from the most stable computed form, kJ/mol of formula units: 0
D(E_F), states/eV/f.u.: 11.976
Symmetry: Imm2
Final energy, Ha/atom: -0.188

***

# 4
A plane-wave DFT calculation with PBE was carried out for a geometry-optimized TmBi2Pd7 structure.

Lattice parameters (Å, degrees): 4.0502 8.2672 8.2673 125.99 90.00 90.00
Positions (direct):
Pd  0.5000  0.2814  0.0864
Pd  0.5000  0.5000  0.5000
Pd  0.5000  0.0864  0.2814
Pd  0.0000  0.8058  0.1942
Pd  0.0000  0.1942  0.8058
Pd  0.5000  0.7186  0.9136
Pd  0.5000  0.9136  0.7186
Bi  0.5000  0.3122  0.6878
Bi  0.5000  0.6878  0.3122
Tm  0.0000  0.0000  0.0000

Properties
Formation enthalpy at 0 K, kJ/mol of formula units: -189
Crystal system: orthorhombic
Density, kg/m³: 9873
Offset from the most stable computed form, kJ/mol of formula units: 274
D(E_F), states/eV/f.u.: 3.499
Symmetry: Cmmm
Final energy, Ha/atom: -0.186

***

# 5
A plane-wave DFT calculation with PBE was carried out for a geometry-optimized TmBiPd3 structure.

Lattice parameters (Å, degrees): 4.1629 5.7750 8.5714 90.00 90.00 90.00
Positions (direct):
Tm  0.7500  0.2500  0.0597
Tm  0.2500  0.7500  0.9403
Pd  0.7500  0.5111  0.7397
Pd  0.2500  0.0111  0.2603
Pd  0.7500  0.7500  0.1678
Pd  0.2500  0.4889  0.2603
Pd  0.7500  0.9889  0.7397
Pd  0.2500  0.2500  0.8322
Bi  0.7500  0.2500  0.4439
Bi  0.2500  0.7500  0.5561

Properties
Formation enthalpy at 0 K, kJ/mol of formula units: -309
Crystal system: orthorhombic
Density, kg/m³: 11236
D(E_F), states/eV/f.u.: 1.637
Symmetry: Pmmn
Final energy, Ha/atom: -0.199

***

# 6
A plane-wave DFT calculation with PBE was carried out for a geometry-optimized Tm6Bi2Pd structure.

Lattice parameters (Å, degrees): 6.4255 7.8398 10.2093 90.00 91.48 90.00
Positions (direct):
Pd  0.5000  0.5000  0.0000
Pd  0.0000  0.0000  0.5000
Tm  0.8698  0.6696  0.5417
Tm  0.3736  0.7990  0.4614
Tm  0.1302  0.3304  0.4583
Tm  0.1432  0.0231  0.7560
Tm  0.1264  0.2990  0.0386
Tm  0.6302  0.1696  0.9583
Tm  0.3698  0.8304  0.0417
Tm  0.8568  0.9769  0.2440
Tm  0.3568  0.5231  0.7440
Tm  0.8736  0.7010  0.9614
Tm  0.6264  0.2010  0.5386
Tm  0.6432  0.4769  0.2560
Bi  0.8943  0.3822  0.7577
Bi  0.6057  0.8822  0.7423
Bi  0.1057  0.6178  0.2423
Bi  0.3943  0.1178  0.2577

Properties
Formation enthalpy at 0 K, kJ/mol of formula units: -415
Crystal system: monoclinic
Density, kg/m³: 9935
D(E_F), states/eV/f.u.: 8.336
Symmetry: P2_1/c
Final energy, Ha/atom: -0.180

***

Number 2 is which compound?
TmBi2Pd8

***

Which formula does entry 3 have?
Tm7Bi2Pd2

***

Copy entry 4 word for word.
A plane-wave DFT calculation with PBE was carried out for a geometry-optimized TmBi2Pd7 structure.

Lattice parameters (Å, degrees): 4.0502 8.2672 8.2673 125.99 90.00 90.00
Positions (direct):
Pd  0.5000  0.2814  0.0864
Pd  0.5000  0.5000  0.5000
Pd  0.5000  0.0864  0.2814
Pd  0.0000  0.8058  0.1942
Pd  0.0000  0.1942  0.8058
Pd  0.5000  0.7186  0.9136
Pd  0.5000  0.9136  0.7186
Bi  0.5000  0.3122  0.6878
Bi  0.5000  0.6878  0.3122
Tm  0.0000  0.0000  0.0000

Properties
Formation enthalpy at 0 K, kJ/mol of formula units: -189
Crystal system: orthorhombic
Density, kg/m³: 9873
Offset from the most stable computed form, kJ/mol of formula units: 274
D(E_F), states/eV/f.u.: 3.499
Symmetry: Cmmm
Final energy, Ha/atom: -0.186